Computed, not measured: Er5TmIn3 after structural relaxation at the PBE level of DFT.

Output
Energy of formation in meV per atom: -350

Lattice parameters (Å, degrees): 9.2495 9.2495 6.6682 90.00 90.00 120.00
Space group P6_3/mcm (No. 193)
Asymmetric unit:
1 Er 0.0000 0.3330 0.2500
2 Er 0.3333 0.6667 0.0000
3 Tm 0.0000 0.0000 0.0000
4 In 0.0000 0.3333 0.7500